Density functional theory data (PBE-GGA) for an optimized crystal structure of CaCu2Br8.

Lattice parameters (Å, degrees): 7.317 7.317 11.950 90.00 90.00 90.00
Space group I422 (No. 97)
Inequivalent atoms, fractional coordinates:
Ca  0.000  0.000  0.000
Cu  0.000  0.500  0.250
Br  0.172  0.325  0.617

Output
Fermi-level density of states: 13.1 states/eV per cell
Total DFT energy (no corrections): -2.732 eV/atom
Formation energy (no corrections): -6.48 eV/f.u.